Ni2SnPd2 | meta-GGA SCAN | single point on PBEsol structure

## Properties
* theoretical density: 9.99 g/cm3
* total energy: -133.36 eV for the cell shown
* magnetic moment: 1.48 μB/cell
* space group: No. 139
* DFT formation energy: 0.0904 eV per atom

a b c (Å): 7.186 7.186 7.186
angles (deg): 153.33 153.33 38.07
Atoms (fractional coordinates):
Ni (0.250, 0.750, 0.500)
Ni (0.750, 0.250, 0.500)
Sn (0.000, 0.000, 0.000)
Pd (0.395, 0.395, 0.000)
Pd (0.605, 0.605, 0.000)

=====

Y2FeSiTc | meta-GGA SCAN | single point on PBEsol structure

## Properties
* theoretical density: 5.54 g/cm3
* total energy: -115.88 eV for the cell shown
* magnetic moment: 1.13 μB/cell
* space group: No. 123
* ΔE_f (raw): 0.603 eV per atom

a b c (Å): 5.180 5.180 4.019
angles (deg): 90.00 90.00 90.00
Atoms (fractional coordinates):
Y (0.000, 0.500, 0.000)
Y (0.500, 0.000, 0.000)
Fe (0.000, 0.000, 0.500)
Si (0.000, 0.000, 0.000)
Tc (0.500, 0.500, 0.500)

=====

AlNiSb | meta-GGA SCAN | single point on PBEsol structure

## Properties
* theoretical density: 6.37 g/cm3
* total energy: -61.22 eV for the cell shown
* magnetic moment: 0.00 μB/cell
* space group: No. 156
* ΔE_f (raw): -0.011 eV per atom

a b c (Å): 3.951 3.951 3.999
angles (deg): 90.00 90.00 120.00
Atoms (fractional coordinates):
Al (0.000, 0.000, 0.000)
Ni (0.667, 0.333, 0.194)
Sb (0.333, 0.667, 0.489)

=====

Li2TaAu | meta-GGA SCAN | single point on PBEsol structure

## Properties
* ΔE to the lowest computed polymorph: 0.0 kJ per mole of atoms
* theoretical density: 10.97 g/cm3
* total energy: -140.90 eV for the cell shown
* magnetic moment: 0.00 μB/cell
* space group: No. 216
* DFT formation energy: -0.0945 eV per atom

a b c (Å): 4.377 4.377 4.377
angles (deg): 60.00 60.00 60.00
Atoms (fractional coordinates):
Li (0.000, 0.000, 0.000)
Li (0.250, 0.250, 0.250)
Ta (0.750, 0.750, 0.750)
Au (0.500, 0.500, 0.500)

=====

SrZrBe2 | meta-GGA SCAN | single point on PBEsol structure

## Properties
* ΔE to the lowest computed polymorph: 0.0 kJ per mole of atoms
* theoretical density: 4.21 g/cm3
* total energy: -60.80 eV for the cell shown
* magnetic moment: 0.00 μB/cell
* space group: No. 123
* DFT formation energy: 0.2209 eV per atom

a b c (Å): 3.384 3.384 6.783
angles (deg): 90.00 90.00 90.00
Atoms (fractional coordinates):
Sr (0.000, 0.000, 0.000)
Zr (0.000, 0.000, 0.500)
Be (0.500, 0.500, 0.324)
Be (0.500, 0.500, 0.676)

=====

KLi2AlGe | meta-GGA SCAN | single point on PBEsol structure

## Properties
* theoretical density: 1.71 g/cm3
* total energy: -37.83 eV for the cell shown
* magnetic moment: 0.00 μB/cell
* space group: No. 123
* DFT formation energy: 0.4244 eV per atom

a b c (Å): 4.983 4.983 5.966
angles (deg): 90.00 90.00 90.00
Atoms (fractional coordinates):
K (0.000, 0.000, 0.000)
Li (0.000, 0.500, 0.500)
Li (0.500, 0.000, 0.500)
Al (0.500, 0.500, 0.000)
Ge (0.000, 0.000, 0.500)

=====

Li2TlPt | meta-GGA SCAN | single point on PBEsol structure

## Properties
* theoretical density: 10.83 g/cm3
* total energy: -149.01 eV for the cell shown
* magnetic moment: 0.00 μB/cell
* space group: No. 25
* DFT formation energy: -0.4201 eV per atom

a b c (Å): 2.914 4.528 4.805
angles (deg): 90.00 90.00 90.00
Atoms (fractional coordinates):
Li (0.000, 0.000, 0.000)
Li (0.000, 0.500, 0.337)
Tl (0.500, 0.000, 0.508)
Pt (0.500, 0.500, 0.863)

=====

Ca2HgCl | meta-GGA SCAN | single point on PBEsol structure

## Properties
* ΔE to the lowest computed polymorph: 0.0 kJ per mole of atoms
* theoretical density: 5.22 g/cm3
* total energy: -99.85 eV for the cell shown
* magnetic moment: 0.00 μB/cell
* space group: No. 12
* ΔE_f (raw): -1.095 eV per atom

a b c (Å): 5.403 5.403 3.445
angles (deg): 90.08 90.08 90.01
Atoms (fractional coordinates):
Ca (0.000, 0.500, 0.000)
Ca (0.500, 0.000, 0.000)
Hg (0.000, 0.000, 0.500)
Cl (0.500, 0.500, 0.500)

=====

Si2TcNi | meta-GGA SCAN | single point on PBEsol structure

## Properties
* theoretical density: 7.27 g/cm3
* total energy: -73.20 eV for the cell shown
* magnetic moment: 0.00 μB/cell
* space group: No. 8
* ΔE_f (raw): -0.483 eV per atom

a b c (Å): 4.535 4.535 4.008
angles (deg): 105.44 105.44 37.93
Atoms (fractional coordinates):
Si (0.000, 0.000, 0.000)
Si (0.245, 0.245, 0.633)
Tc (0.508, 0.508, 0.508)
Ni (0.740, 0.740, 0.120)

=====

Re2OsRh | meta-GGA SCAN | single point on PBEsol structure

## Properties
* ΔE to the lowest computed polymorph: 56.6 kJ per mole of atoms
* theoretical density: 19.15 g/cm3
* total energy: -246.17 eV for the cell shown
* magnetic moment: 0.00 μB/cell
* space group: No. 123
* DFT formation energy: 0.4191 eV per atom

a b c (Å): 3.247 3.247 5.473
angles (deg): 90.00 90.00 90.00
Atoms (fractional coordinates):
Re (0.000, 0.000, 0.239)
Re (0.000, 0.000, 0.761)
Os (0.500, 0.500, 0.500)
Rh (0.500, 0.500, 0.000)

=====

MgSc2 | meta-GGA SCAN | single point on PBEsol structure

## Properties
* theoretical density: 2.75 g/cm3
* total energy: -67.03 eV for the cell shown
* magnetic moment: 0.01 μB/cell
* space group: No. 63
* DFT formation energy: -0.0232 eV per atom

a b c (Å): 8.346 8.346 5.085
angles (deg): 90.00 90.00 157.07
Atoms (fractional coordinates):
Mg (0.061, 0.939, 0.750)
Mg (0.939, 0.061, 0.250)
Sc (0.274, 0.726, 0.250)
Sc (0.396, 0.604, 0.750)
Sc (0.604, 0.396, 0.250)
Sc (0.726, 0.274, 0.750)

=====

Li2Fe3F8 | meta-GGA SCAN | single point on PBEsol structure

## Properties
* ΔE to the lowest computed polymorph: 0.0 kJ per mole of atoms
* theoretical density: 3.91 g/cm3
* total energy: -120.51 eV for the cell shown
* magnetic moment: 12.00 μB/cell
* space group: No. 2
* ΔE_f (raw): -2.540 eV per atom

a b c (Å): 5.023 5.569 5.840
angles (deg): 74.45 85.62 64.20
Atoms (fractional coordinates):
Li (0.067, 0.397, 0.277)
Li (0.933, 0.603, 0.723)
Fe (0.223, 0.987, 0.889)
Fe (0.500, 0.500, 0.500)
Fe (0.777, 0.013, 0.111)
F (0.214, 0.704, 0.198)
F (0.215, 0.751, 0.688)
F (0.264, 0.277, 0.585)
F (0.308, 0.218, 0.062)
F (0.692, 0.782, 0.938)
F (0.736, 0.723, 0.415)
F (0.785, 0.249, 0.312)
F (0.786, 0.296, 0.802)

=====

Cu2TeAs | meta-GGA SCAN | single point on PBEsol structure

## Properties
* ΔE to the lowest computed polymorph: 28.5 kJ per mole of atoms
* theoretical density: 8.06 g/cm3
* total energy: -86.24 eV for the cell shown
* magnetic moment: 0.00 μB/cell
* space group: No. 139
* ΔE_f (raw): 0.400 eV per atom

a b c (Å): 4.742 4.742 4.742
angles (deg): 125.67 125.67 80.43
Atoms (fractional coordinates):
Cu (0.250, 0.750, 0.500)
Cu (0.750, 0.250, 0.500)
Te (0.000, 0.000, 0.000)
As (0.500, 0.500, 0.000)

=====

Li2RhAu | meta-GGA SCAN | single point on PBEsol structure

## Properties
* theoretical density: 9.44 g/cm3
* total energy: -108.97 eV for the cell shown
* magnetic moment: 0.71 μB/cell
* space group: No. 123
* DFT formation energy: -0.3156 eV per atom

a b c (Å): 2.677 2.677 7.701
angles (deg): 90.00 90.00 90.00
Atoms (fractional coordinates):
Li (0.000, 0.000, 0.242)
Li (0.000, 0.000, 0.758)
Rh (0.500, 0.500, 0.000)
Au (0.500, 0.500, 0.500)

=====

Rb2NaCeI6 | meta-GGA SCAN | single point on PBEsol structure

## Properties
* theoretical density: 3.97 g/cm3
* total energy: -326.14 eV for the cell shown
* magnetic moment: 1.00 μB/cell
* space group: No. 225
* ΔE_f (raw): -1.543 eV per atom

a b c (Å): 8.653 8.653 8.653
angles (deg): 60.00 60.00 60.00
Atoms (fractional coordinates):
Rb (0.250, 0.250, 0.250)
Rb (0.750, 0.750, 0.750)
Na (0.000, 0.000, 0.000)
Ce (0.500, 0.500, 0.500)
I (0.249, 0.249, 0.751)
I (0.249, 0.751, 0.249)
I (0.249, 0.751, 0.751)
I (0.751, 0.249, 0.249)
I (0.751, 0.249, 0.751)
I (0.751, 0.751, 0.249)

=====

TaAsRh3 | meta-GGA SCAN | single point on PBEsol structure

## Properties
* ΔE to the lowest computed polymorph: 42.4 kJ per mole of atoms
* theoretical density: 9.33 g/cm3
* total energy: -182.92 eV for the cell shown
* magnetic moment: 0.00 μB/cell
* space group: No. 221
* DFT formation energy: 1.0343 eV per atom

a b c (Å): 4.649 4.649 4.649
angles (deg): 90.00 90.00 90.00
Atoms (fractional coordinates):
Ta (0.000, 0.000, 0.000)
As (0.500, 0.500, 0.500)
Rh (0.000, 0.000, 0.500)
Rh (0.000, 0.500, 0.000)
Rh (0.500, 0.000, 0.000)

=====

SbCSe2 | meta-GGA SCAN | single point on PBEsol structure

## Properties
* ΔE to the lowest computed polymorph: 25.0 kJ per mole of atoms
* theoretical density: 6.41 g/cm3
* total energy: -82.76 eV for the cell shown
* magnetic moment: 0.00 μB/cell
* space group: No. 166
* ΔE_f (raw): 1.190 eV per atom

a b c (Å): 8.653 8.653 8.653
angles (deg): 21.41 21.41 21.41
Atoms (fractional coordinates):
Sb (0.000, 0.000, 0.000)
C (0.500, 0.500, 0.500)
Se (0.113, 0.113, 0.113)
Se (0.887, 0.887, 0.887)

=====

Sr2LaMn | meta-GGA SCAN | single point on PBEsol structure

## Properties
* ΔE to the lowest computed polymorph: 0.0 kJ per mole of atoms
* theoretical density: 4.30 g/cm3
* total energy: -105.59 eV for the cell shown
* magnetic moment: 3.64 μB/cell
* space group: No. 99
* DFT formation energy: 0.0800 eV per atom

a b c (Å): 3.818 3.818 9.788
angles (deg): 90.00 90.00 90.00
Atoms (fractional coordinates):
Sr (0.000, 0.000, 0.000)
Sr (0.500, 0.500, 0.334)
La (0.500, 0.500, 0.697)
Mn (0.000, 0.000, 0.543)

=====

GeBr3F | meta-GGA SCAN | single point on PBEsol structure

## Properties
* theoretical density: 4.87 g/cm3
* total energy: -79.34 eV for the cell shown
* magnetic moment: 0.00 μB/cell
* space group: No. 221
* ΔE_f (raw): 0.333 eV per atom

a b c (Å): 4.834 4.834 4.834
angles (deg): 90.00 90.00 90.00
Atoms (fractional coordinates):
Ge (0.000, 0.000, 0.000)
Br (0.000, 0.500, 0.500)
Br (0.500, 0.000, 0.500)
Br (0.500, 0.500, 0.000)
F (0.500, 0.500, 0.500)

=====

Tl2ICl | meta-GGA SCAN | single point on PBEsol structure

## Properties
* ΔE to the lowest computed polymorph: 0.0 kJ per mole of atoms
* theoretical density: 7.67 g/cm3
* total energy: -192.73 eV for the cell shown
* magnetic moment: 0.00 μB/cell
* space group: No. 225
* ΔE_f (raw): -0.823 eV per atom

a b c (Å): 5.592 5.592 5.592
angles (deg): 60.00 60.00 60.00
Atoms (fractional coordinates):
Tl (0.250, 0.250, 0.250)
Tl (0.750, 0.750, 0.750)
I (0.000, 0.000, 0.000)
Cl (0.500, 0.500, 0.500)